No. 1
Crystalline TbSm3Tm2 at its relaxed geometry, computed with PBE.

Output
Distance to the lowest polymorph of the same formula, meV per atom: 0
ρ, Mg/m³: 8.14
Calculated total energy, eV per atom: -4.6199

Geometry as CIF:
```
data_TbSm3Tm2
_cell_length_a 17.730
_cell_length_b 7.199
_cell_length_c 6.235
_cell_angle_alpha 90.00
_cell_angle_beta 103.53
_cell_angle_gamma 90.00
_symmetry_space_group_name_H-M 'C 1 2/c 1'
_symmetry_Int_Tables_number 15
loop_
_symmetry_equiv_pos_as_xyz
'x,y,z'
'-x,-y,-z'
'-x,y,-z+1/2'
'x,-y,z+1/2'
'x+1/2,y+1/2,z'
'-x+1/2,-y+1/2,-z'
'-x+1/2,y+1/2,-z+1/2'
'x+1/2,-y+1/2,z+1/2'
loop_
_atom_site_label
_atom_site_type_symbol
_atom_site_fract_x
_atom_site_fract_y
_atom_site_fract_z
Tb1 Tb 0.000 0.123 0.250
Sm1 Sm 0.000 0.372 0.750
Sm2 Sm 0.168 0.375 0.528
Tm1 Tm 0.167 0.124 0.028
```

***

No. 2
Crystalline BaHoN at its relaxed geometry, computed with PBE.

Output
Distance to the lowest polymorph of the same formula, meV per atom: 0
Uncorrected formation energy, meV per atom: -758
ρ, Mg/m³: 6.18
Calculated total energy, eV per atom: -5.6996

Geometry as CIF:
```
data_BaHoN
_cell_length_a 15.011
_cell_length_b 3.723
_cell_length_c 6.714
_cell_angle_alpha 90.00
_cell_angle_beta 115.06
_cell_angle_gamma 90.00
_symmetry_space_group_name_H-M 'C 1 2/m 1'
_symmetry_Int_Tables_number 12
loop_
_symmetry_equiv_pos_as_xyz
'x,y,z'
'-x,-y,-z'
'-x,y,-z'
'x,-y,z'
'x+1/2,y+1/2,z'
'-x+1/2,-y+1/2,-z'
'-x+1/2,y+1/2,-z'
'x+1/2,-y+1/2,z'
loop_
_atom_site_label
_atom_site_type_symbol
_atom_site_fract_x
_atom_site_fract_y
_atom_site_fract_z
Ba1 Ba 0.128 0.000 0.302
Ho1 Ho 0.159 0.500 0.832
N1 N 0.241 0.000 0.804
```

***

No. 3
Crystalline Hf8Pb2N at its relaxed geometry, computed with PBE.

Output
Uncorrected formation energy, meV per atom: -91
ρ, Mg/m³: 13.30
Calculated total energy, eV per atom: -8.7614

Geometry as CIF:
```
data_Hf8Pb2N
_cell_length_a 15.856
_cell_length_b 5.086
_cell_length_c 6.017
_cell_angle_alpha 90.00
_cell_angle_beta 107.23
_cell_angle_gamma 90.00
_symmetry_space_group_name_H-M 'C 1 2/m 1'
_symmetry_Int_Tables_number 12
loop_
_symmetry_equiv_pos_as_xyz
'x,y,z'
'-x,-y,-z'
'-x,y,-z'
'x,-y,z'
'x+1/2,y+1/2,z'
'-x+1/2,-y+1/2,-z'
'-x+1/2,y+1/2,-z'
'x+1/2,-y+1/2,z'
loop_
_atom_site_label
_atom_site_type_symbol
_atom_site_fract_x
_atom_site_fract_y
_atom_site_fract_z
Hf1 Hf 0.006 0.000 0.243
Hf2 Hf 0.076 0.500 0.734
Hf3 Hf 0.121 0.500 0.260
Hf4 Hf 0.208 0.000 0.114
Pb1 Pb 0.178 0.000 0.608
N1 N 0.000 0.500 0.000
```

***

No. 4
Crystalline Al2CdTeS6 at its relaxed geometry, computed with PBE.

Output
Uncorrected formation energy, meV per atom: -565
ρ, Mg/m³: 3.55
Calculated total energy, eV per atom: -4.1955

Geometry as CIF:
```
data_Al2CdTeS6
_cell_length_a 12.500
_cell_length_b 10.918
_cell_length_c 6.890
_cell_angle_alpha 90.00
_cell_angle_beta 104.53
_cell_angle_gamma 90.00
_symmetry_space_group_name_H-M 'C 1 2/c 1'
_symmetry_Int_Tables_number 15
loop_
_symmetry_equiv_pos_as_xyz
'x,y,z'
'-x,-y,-z'
'-x,y,-z+1/2'
'x,-y,z+1/2'
'x+1/2,y+1/2,z'
'-x+1/2,-y+1/2,-z'
'-x+1/2,y+1/2,-z+1/2'
'x+1/2,-y+1/2,z+1/2'
loop_
_atom_site_label
_atom_site_type_symbol
_atom_site_fract_x
_atom_site_fract_y
_atom_site_fract_z
Al1 Al 0.195 0.090 0.239
Cd1 Cd 0.000 0.391 0.250
Te1 Te 0.000 0.235 0.750
S1 S 0.110 0.402 0.644
S2 S 0.138 0.066 0.524
S3 S 0.141 0.275 0.104
```

***

No. 5
Crystalline TbZnSn at its relaxed geometry, computed with PBE.

Output
ρ, Mg/m³: 7.78
Calculated total energy, eV per atom: -3.6414

Geometry as CIF:
```
data_TbZnSn
_cell_length_a 5.760
_cell_length_b 8.193
_cell_length_c 6.208
_cell_angle_alpha 90.00
_cell_angle_beta 90.00
_cell_angle_gamma 90.00
_symmetry_space_group_name_H-M 'C m c m'
_symmetry_Int_Tables_number 63
_symmetry_space_group_name_Hall '-C 2c 2'
loop_
_atom_site_label
_atom_site_type_symbol
_atom_site_fract_x
_atom_site_fract_y
_atom_site_fract_z
Tb1 Tb 0.000 0.163 0.250
Zn1 Zn 0.000 0.500 0.000
Sn1 Sn 0.000 0.212 0.750
```

***

No. 6
Crystalline LaZnHg2 at its relaxed geometry, computed with PBE.

Output
ρ, Mg/m³: 10.10
Calculated total energy, eV per atom: -1.9244

Geometry as CIF:
```
data_LaZnHg2
_cell_length_a 3.711
_cell_length_b 3.711
_cell_length_c 7.231
_cell_angle_alpha 90.00
_cell_angle_beta 90.00
_cell_angle_gamma 90.00
_symmetry_space_group_name_H-M 'P 4 m m'
_symmetry_Int_Tables_number 99
loop_
_symmetry_equiv_pos_as_xyz
'x,y,z'
'-y,x,z'
'-x,-y,z'
'y,-x,z'
'-x,y,z'
'y,x,z'
'x,-y,z'
'-y,-x,z'
loop_
_atom_site_label
_atom_site_type_symbol
_atom_site_fract_x
_atom_site_fract_y
_atom_site_fract_z
La1 La 0.000 0.000 0.000
Zn1 Zn 0.500 0.500 0.273
Hg1 Hg 0.000 0.000 0.465
Hg2 Hg 0.500 0.500 0.718
```

***

No. 7
Crystalline Zn2InBr at its relaxed geometry, computed with PBE.

Output
Distance to the lowest polymorph of the same formula, meV per atom: 125
Uncorrected formation energy, meV per atom: -20
ρ, Mg/m³: 5.05
Calculated total energy, eV per atom: -1.7594

Geometry as CIF:
```
data_Zn2InBr
_cell_length_a 5.303
_cell_length_b 3.909
_cell_length_c 5.406
_cell_angle_alpha 90.00
_cell_angle_beta 107.29
_cell_angle_gamma 90.00
_symmetry_space_group_name_H-M 'P 1 2/m 1'
_symmetry_Int_Tables_number 10
loop_
_symmetry_equiv_pos_as_xyz
'x,y,z'
'-x,-y,-z'
'-x,y,-z'
'x,-y,z'
loop_
_atom_site_label
_atom_site_type_symbol
_atom_site_fract_x
_atom_site_fract_y
_atom_site_fract_z
Zn1 Zn 0.198 0.000 0.206
In1 In 0.000 0.500 0.500
Br1 Br 0.500 0.500 0.000
```

***

No. 8
Crystalline AcNd2Tm5 at its relaxed geometry, computed with PBE.

Output
ρ, Mg/m³: 8.62
Calculated total energy, eV per atom: -4.4616

Geometry as CIF:
```
data_AcNd2Tm5
_cell_length_a 10.100
_cell_length_b 14.352
_cell_length_c 7.227
_cell_angle_alpha 90.00
_cell_angle_beta 90.00
_cell_angle_gamma 90.00
_symmetry_space_group_name_H-M 'P b a m'
_symmetry_Int_Tables_number 55
loop_
_symmetry_equiv_pos_as_xyz
'x,y,z'
'-x,-y,-z'
'-x,-y,z'
'x,y,-z'
'x+1/2,-y+1/2,-z'
'-x+1/2,y+1/2,z'
'-x+1/2,y+1/2,-z'
'x+1/2,-y+1/2,z'
loop_
_atom_site_label
_atom_site_type_symbol
_atom_site_fract_x
_atom_site_fract_y
_atom_site_fract_z
Ac1 Ac 0.245 0.126 0.000
Nd1 Nd 0.000 0.500 0.254
Nd2 Nd 0.245 0.126 0.500
Tm1 Tm 0.000 0.000 0.255
Tm2 Tm 0.002 0.750 0.255
Tm3 Tm 0.248 0.875 0.500
Tm4 Tm 0.248 0.876 0.000
```

***

No. 9
Crystalline TaBeCr2 at its relaxed geometry, computed with PBE.

Output
ρ, Mg/m³: 9.52
Calculated total energy, eV per atom: -8.4892

Geometry as CIF:
```
data_TaBeCr2
_cell_length_a 2.576
_cell_length_b 4.138
_cell_length_c 4.868
_cell_angle_alpha 90.00
_cell_angle_beta 98.80
_cell_angle_gamma 90.00
_symmetry_space_group_name_H-M 'P 1 2/m 1'
_symmetry_Int_Tables_number 10
loop_
_symmetry_equiv_pos_as_xyz
'x,y,z'
'-x,-y,-z'
'-x,y,-z'
'x,-y,z'
loop_
_atom_site_label
_atom_site_type_symbol
_atom_site_fract_x
_atom_site_fract_y
_atom_site_fract_z
Ta1 Ta 0.000 0.000 0.000
Be1 Be 0.500 0.000 0.500
Cr1 Cr 0.235 0.500 0.726
```

***

No. 10
Crystalline TlSi4Ag at its relaxed geometry, computed with PBE.

Output
Uncorrected formation energy, meV per atom: 548
ρ, Mg/m³: 6.36
Calculated total energy, eV per atom: -3.9366

Geometry as CIF:
```
data_TlSi4Ag
_cell_length_a 7.626
_cell_length_b 7.626
_cell_length_c 7.626
_cell_angle_alpha 90.00
_cell_angle_beta 90.00
_cell_angle_gamma 90.00
_symmetry_space_group_name_H-M 'F -4 3 m'
_symmetry_Int_Tables_number 216
_symmetry_space_group_name_Hall 'F -4 2 3'
loop_
_atom_site_label
_atom_site_type_symbol
_atom_site_fract_x
_atom_site_fract_y
_atom_site_fract_z
Tl1 Tl 0.000 0.000 0.000
Si1 Si 0.124 0.124 0.376
Ag1 Ag 0.250 0.250 0.750
```

***

No. 11
Crystalline YTa2Se at its relaxed geometry, computed with PBE.

Output
Uncorrected formation energy, meV per atom: 58
ρ, Mg/m³: 10.52
Calculated total energy, eV per atom: -8.3551

Geometry as CIF:
```
data_YTa2Se
_cell_length_a 3.946
_cell_length_b 3.946
_cell_length_c 10.738
_cell_angle_alpha 90.00
_cell_angle_beta 90.00
_cell_angle_gamma 90.00
_symmetry_space_group_name_H-M 'I 4/m m m'
_symmetry_Int_Tables_number 139
_symmetry_space_group_name_Hall '-I 4 2'
loop_
_atom_site_label
_atom_site_type_symbol
_atom_site_fract_x
_atom_site_fract_y
_atom_site_fract_z
Y1 Y 0.000 0.000 0.000
Ta1 Ta 0.000 0.500 0.250
Se1 Se 0.000 0.000 0.500
```

***

No. 12
Crystalline TiPbN2 at its relaxed geometry, computed with PBE.

Output
Uncorrected formation energy, meV per atom: -479
ρ, Mg/m³: 7.09
Calculated total energy, eV per atom: -7.5421

Geometry as CIF:
```
data_TiPbN2
_cell_length_a 5.418
_cell_length_b 5.418
_cell_length_c 9.037
_cell_angle_alpha 90.00
_cell_angle_beta 90.00
_cell_angle_gamma 90.00
_symmetry_space_group_name_H-M 'I -4 2 d'
_symmetry_Int_Tables_number 122
_symmetry_space_group_name_Hall 'I -4 2bw'
loop_
_atom_site_label
_atom_site_type_symbol
_atom_site_fract_x
_atom_site_fract_y
_atom_site_fract_z
Ti1 Ti 0.000 0.000 0.000
Pb1 Pb 0.000 0.000 0.500
N1 N 0.148 0.250 0.125
```

***

Q: Number 3 is which compound?
A: Hf8Pb2N